# KSbOs2

A relaxed structure of KSbOs2 (PBE-GGA, Alexandria via LeMat-Bulk).

ΔE_f (raw)   1567 meV per atom
Spin magnetization   0.0 μB per formula unit
D(E_F)   1.37 states/eV/atom

a b c (Å): 4.606 4.606 3.486
angles (deg): 90.00 90.00 90.00
Fractional positions:
K 0.000 0.500 0.500
Os 0.000 0.000 0.000
Os 0.500 0.500 0.000
Sb 0.500 0.000 0.500